(1)
Computed, not measured: a geometry-optimized CsYSiB2 structure at the PBEsol level of DFT. Values from VASP.

```
&SYSTEM
  ibrav = 0, nat = 5, ntyp = 4
/
ATOMIC_SPECIES
Cs 132.91 Cs.upf
Y 88.91 Y.upf
Si 28.09 Si.upf
B 10.81 B.upf
CELL_PARAMETERS angstrom
4.6122 0.0000 0.0000
0.0000 4.6122 0.0000
0.0000 0.0000 5.7039
ATOMIC_POSITIONS angstrom
Cs 0.0000 0.0000 0.0000
Y 0.0000 0.0000 2.8520
Si 2.3061 2.3061 2.8520
B 0.0000 2.3061 0.0000
B 2.3061 0.0000 0.0000
```

- N(E_F) (states/eV/atom) = 0.701
- raw formation energy (kJ/mol of atoms) = 252.32

=====

(2)
Computed, not measured: a geometry-optimized CsTcB2 structure at the PBEsol level of DFT. Values from VASP.

```
&SYSTEM
  ibrav = 0, nat = 8, ntyp = 3
/
ATOMIC_SPECIES
Cs 132.91 Cs.upf
Tc 98.00 Tc.upf
B 10.81 B.upf
CELL_PARAMETERS angstrom
0.0000 4.5554 4.5554
4.5554 0.0000 4.5554
4.5554 4.5554 0.0000
ATOMIC_POSITIONS angstrom
Cs 1.1388 1.1388 1.1388
Cs 7.9719 7.9719 7.9719
Tc 3.4165 3.4165 3.4165
Tc 5.6942 5.6942 5.6942
B 4.5554 2.2777 2.2777
B 2.2777 4.5554 2.2777
B 2.2777 2.2777 4.5554
B 4.5554 4.5554 4.5554
```

- N(E_F) (states/eV/atom) = 0.319
- ΔH_f (0 K) (eV per formula unit) = 2.6

=====

(3)
Computed, not measured: a geometry-optimized CsBTe3 structure at the PBEsol level of DFT. Values from VASP.

```
&SYSTEM
  ibrav = 0, nat = 5, ntyp = 3
/
ATOMIC_SPECIES
Cs 132.91 Cs.upf
B 10.81 B.upf
Te 127.60 Te.upf
CELL_PARAMETERS angstrom
5.1357 0.0000 0.0000
0.0000 5.1357 0.0000
0.0000 0.0000 5.1357
ATOMIC_POSITIONS angstrom
Cs 0.0000 0.0000 0.0000
B 2.5678 2.5678 2.5678
Te 0.0000 2.5678 2.5678
Te 2.5678 0.0000 2.5678
Te 2.5678 2.5678 0.0000
```

- N(E_F) (states/eV/atom) = 0.798
- raw formation energy (kJ/mol of atoms) = 28.13

=====

(4)
Computed, not measured: a geometry-optimized CsTiB3 structure at the PBEsol level of DFT. Values from VASP.

```
&SYSTEM
  ibrav = 0, nat = 5, ntyp = 3
/
ATOMIC_SPECIES
Cs 132.91 Cs.upf
Ti 47.87 Ti.upf
B 10.81 B.upf
CELL_PARAMETERS angstrom
4.4513 0.0000 0.0000
0.0000 4.4513 0.0000
0.0000 0.0000 4.4513
ATOMIC_POSITIONS angstrom
Cs 0.0000 0.0000 0.0000
Ti 2.2257 2.2257 2.2257
B 0.0000 0.0000 2.2257
B 0.0000 2.2257 0.0000
B 2.2257 0.0000 0.0000
```

- N(E_F) (states/eV/atom) = 1.190
- ΔH_f (0 K) (eV per formula unit) = 16.4

=====

(5)
Computed, not measured: a geometry-optimized Cs3TiB structure at the PBEsol level of DFT. Values from VASP.

```
&SYSTEM
  ibrav = 0, nat = 5, ntyp = 3
/
ATOMIC_SPECIES
Cs 132.91 Cs.upf
Ti 47.87 Ti.upf
B 10.81 B.upf
CELL_PARAMETERS angstrom
6.6365 0.0000 0.0000
0.0000 6.6365 0.0000
0.0000 0.0000 6.6365
ATOMIC_POSITIONS angstrom
Cs 0.0000 0.0000 3.3182
Cs 0.0000 3.3182 0.0000
Cs 3.3182 0.0000 0.0000
Ti 0.0000 0.0000 0.0000
B 3.3182 3.3182 3.3182
```

- N(E_F) (states/eV/atom) = 1.692
- ΔH_f (0 K) (eV per formula unit) = 9.3

=====

(6)
Computed, not measured: a geometry-optimized CsBW3 structure at the PBEsol level of DFT. Values from VASP.

```
&SYSTEM
  ibrav = 0, nat = 5, ntyp = 3
/
ATOMIC_SPECIES
Cs 132.91 Cs.upf
B 10.81 B.upf
W 183.84 W.upf
CELL_PARAMETERS angstrom
4.3818 0.0000 0.0000
0.0000 4.3818 0.0000
0.0000 0.0000 4.3818
ATOMIC_POSITIONS angstrom
Cs 0.0000 0.0000 0.0000
B 2.1909 2.1909 2.1909
W 0.0000 2.1909 2.1909
W 2.1909 0.0000 2.1909
W 2.1909 2.1909 0.0000
```

- N(E_F) (states/eV/atom) = 1.186
- ΔH_f (0 K) (eV per formula unit) = 9.0

=====

(7)
Computed, not measured: a geometry-optimized CsB3W structure at the PBEsol level of DFT. Values from VASP.

```
&SYSTEM
  ibrav = 0, nat = 5, ntyp = 3
/
ATOMIC_SPECIES
Cs 132.91 Cs.upf
B 10.81 B.upf
W 183.84 W.upf
CELL_PARAMETERS angstrom
4.2971 0.0000 0.0000
0.0000 4.2971 0.0000
0.0000 0.0000 4.2971
ATOMIC_POSITIONS angstrom
Cs 0.0000 0.0000 0.0000
B 0.0000 0.0000 2.1485
B 0.0000 2.1485 0.0000
B 2.1485 0.0000 0.0000
W 2.1485 2.1485 2.1485
```

- N(E_F) (states/eV/atom) = 1.189
- ΔH_f (0 K) (eV per formula unit) = 19.8

=====

(8)
Computed, not measured: a geometry-optimized Dy2CuB8O16 structure at the PBEsol level of DFT. Values from VASP.

```
&SYSTEM
  ibrav = 0, nat = 54, ntyp = 4
/
ATOMIC_SPECIES
Dy 162.50 Dy.upf
Cu 63.55 Cu.upf
B 10.81 B.upf
O 16.00 O.upf
CELL_PARAMETERS angstrom
10.2065 0.0000 0.0000
0.0000 8.4228 0.0000
-0.0356 0.0000 6.1116
ATOMIC_POSITIONS angstrom
Dy 1.8416 0.0540 3.0272
Dy 1.8238 4.1575 6.0830
Dy 8.3470 4.2654 0.0286
Dy 8.3292 8.3689 3.0844
Cu 5.0854 0.0000 3.0558
Cu 5.1032 4.2114 0.0000
B 10.1745 1.5438 5.4006
B 10.1923 2.6676 2.3448
B -0.0215 5.7552 3.7668
B -0.0037 6.8790 0.7110
B 1.9396 0.0302 6.0765
B 1.9574 4.1812 3.0207
B 3.7981 5.8476 2.3072
B 3.7803 6.7866 5.3630
B 3.8910 1.6141 0.7184
B 3.8732 2.5973 3.7742
B 6.2976 5.8255 2.3374
B 6.2798 6.8087 5.3932
B 6.3905 1.6362 0.7487
B 6.3727 2.5752 3.8045
B 8.2134 4.2416 3.0910
B 8.2313 8.3926 0.0351
O 0.0696 5.5734 0.3859
O 0.0518 7.0608 3.4417
O 1.0991 4.9462 3.9397
O 1.1170 7.6880 0.8839
O 1.2107 0.9385 5.1636
O 1.2285 3.2729 2.1078
O 2.6902 5.0266 2.0825
O 2.6724 7.6076 5.1383
O 2.7964 0.7762 0.9184
O 2.7786 3.4352 3.9742
O 3.6186 5.4967 5.7103
O 3.6364 7.1376 2.6545
O 3.6891 1.3073 3.4325
O 3.7069 2.9041 0.3767
O 5.0453 5.2625 2.1434
O 5.0275 7.3717 5.1992
O 5.1433 1.0511 0.9124
O 5.1255 3.1603 3.9682
O 6.4639 5.5188 5.7350
O 6.4817 7.1155 2.6792
O 6.5344 1.2853 3.4571
O 6.5522 2.9261 0.4013
O 7.3923 4.9876 2.1374
O 7.3744 7.6466 5.1932
O 7.4984 0.8152 0.9733
O 7.4806 3.3962 4.0291
O 8.9423 5.1499 4.0038
O 8.9601 7.4843 0.9480
O 9.0539 0.7348 5.2278
O 9.0717 3.4766 2.1720
O 10.1191 1.3620 2.6699
O 10.1012 2.8494 5.7257
```

- raw formation energy (kJ/mol of atoms) = -246.91

=====

(9)
Computed, not measured: a geometry-optimized Er2CuB4O10 structure at the PBEsol level of DFT. Values from VASP.

```
&SYSTEM
  ibrav = 0, nat = 34, ntyp = 4
/
ATOMIC_SPECIES
Er 167.26 Er.upf
Cu 63.55 Cu.upf
B 10.81 B.upf
O 16.00 O.upf
CELL_PARAMETERS angstrom
4.5344 0.0000 0.0000
0.0000 7.1801 0.0000
-0.0703 0.0000 9.2593
ATOMIC_POSITIONS angstrom
Er -0.0012 0.7484 1.5326
Er -0.0364 2.8417 6.1622
Er 4.5005 4.3384 3.0971
Er 4.4654 6.4318 7.7268
Cu -0.0352 0.0000 4.6297
Cu 0.0000 3.5901 0.0000
B 2.0605 5.2464 5.3727
B 2.0956 5.5238 0.7430
B 2.0820 0.7021 6.1324
B 2.1172 2.8879 1.5028
B 2.3470 4.2922 7.7566
B 2.3821 6.4780 3.1269
B 2.3685 1.6563 8.5163
B 2.4037 1.9338 3.8866
O 0.9100 4.2382 7.7191
O 0.9451 6.5320 3.0895
O 1.0085 4.3663 5.0093
O 1.0436 6.4039 0.3797
O 1.4498 4.2328 1.2767
O 1.4146 6.5374 5.9064
O 1.4705 1.1800 7.4138
O 1.5056 2.4101 2.7841
O 1.5653 1.5956 5.0685
O 1.6005 1.9945 0.4388
O 2.8637 5.1856 8.8205
O 2.8988 5.5846 4.1909
O 2.9585 4.7701 6.4752
O 2.9937 6.0001 1.8456
O 3.0495 0.6427 3.3529
O 3.0144 2.9474 7.9826
O 3.4205 0.7763 8.8797
O 3.4557 2.8138 4.2500
O 3.5190 0.6481 6.1699
O 3.5542 2.9420 1.5402
```

- raw formation energy (kJ/mol of atoms) = -259.53

=====

(10)
Computed, not measured: a geometry-optimized Cu2BPtF structure at the PBEsol level of DFT. Values from VASP.

```
&SYSTEM
  ibrav = 0, nat = 5, ntyp = 4
/
ATOMIC_SPECIES
Cu 63.55 Cu.upf
B 10.81 B.upf
Pt 195.08 Pt.upf
F 19.00 F.upf
CELL_PARAMETERS angstrom
3.8288 0.0000 0.0000
0.0000 3.8288 0.0000
0.0000 0.0000 4.0079
ATOMIC_POSITIONS angstrom
Cu 0.0000 1.9144 0.0000
Cu 1.9144 0.0000 0.0000
B 0.0000 0.0000 2.0039
Pt 1.9144 1.9144 2.0039
F 0.0000 0.0000 0.0000
```

- N(E_F) (states/eV/atom) = 0.445
- raw formation energy (kJ/mol of atoms) = 58.23

=====

(11)
Computed, not measured: a geometry-optimized Fe2CuSiB structure at the PBEsol level of DFT. Values from VASP.

```
&SYSTEM
  ibrav = 0, nat = 5, ntyp = 4
/
ATOMIC_SPECIES
Fe 55.84 Fe.upf
Cu 63.55 Cu.upf
Si 28.09 Si.upf
B 10.81 B.upf
CELL_PARAMETERS angstrom
4.3601 0.0000 0.0000
0.0000 4.3601 0.0000
0.0000 0.0000 4.0906
ATOMIC_POSITIONS angstrom
Fe 0.0000 2.1800 0.0000
Fe 2.1800 0.0000 0.0000
Cu 0.0000 0.0000 0.0000
Si 0.0000 0.0000 2.0453
B 2.1800 2.1800 2.0453
```

- N(E_F) (states/eV/atom) = 0.815
- raw formation energy (kJ/mol of atoms) = 163.82

=====

(12)
Computed, not measured: a geometry-optimized Li2GaCuB structure at the PBEsol level of DFT. Values from VASP.

```
&SYSTEM
  ibrav = 0, nat = 5, ntyp = 4
/
ATOMIC_SPECIES
Li 6.94 Li.upf
Ga 69.72 Ga.upf
Cu 63.55 Cu.upf
B 10.81 B.upf
CELL_PARAMETERS angstrom
4.5986 0.0000 0.0000
0.0000 4.5986 0.0000
0.0000 0.0000 4.3739
ATOMIC_POSITIONS angstrom
Li 0.0000 2.2993 0.0000
Li 2.2993 0.0000 0.0000
Ga 0.0000 0.0000 0.0000
Cu 0.0000 0.0000 2.1870
B 2.2993 2.2993 2.1870
```

- N(E_F) (states/eV/atom) = 0.595
- ΔH_f (0 K) (eV per formula unit) = 5.8

=====

(13)
Computed, not measured: a geometry-optimized Mn2CuGeB structure at the PBEsol level of DFT. Values from VASP.

```
&SYSTEM
  ibrav = 0, nat = 5, ntyp = 4
/
ATOMIC_SPECIES
Mn 54.94 Mn.upf
Cu 63.55 Cu.upf
Ge 72.64 Ge.upf
B 10.81 B.upf
CELL_PARAMETERS angstrom
4.5732 0.0000 0.0000
0.0000 4.5732 0.0000
0.0000 0.0000 3.7254
ATOMIC_POSITIONS angstrom
Mn 0.0000 2.2866 0.0000
Mn 2.2866 0.0000 0.0000
Cu 0.0000 0.0000 1.8627
Ge 2.2866 2.2866 0.0000
B 2.2866 2.2866 1.8627
```

- N(E_F) (states/eV/atom) = 0.501
- ΔH_f (0 K) (eV per formula unit) = 6.5

=====

(14)
Computed, not measured: a geometry-optimized CuSiGe2B structure at the PBEsol level of DFT. Values from VASP.

```
&SYSTEM
  ibrav = 0, nat = 5, ntyp = 4
/
ATOMIC_SPECIES
Cu 63.55 Cu.upf
Si 28.09 Si.upf
Ge 72.64 Ge.upf
B 10.81 B.upf
CELL_PARAMETERS angstrom
4.3802 0.0000 0.0000
0.0000 4.3802 0.0000
0.0000 0.0000 3.8944
ATOMIC_POSITIONS angstrom
Cu 0.0000 0.0000 0.0000
Si 2.1901 2.1901 0.0000
Ge 0.0000 2.1901 1.9472
Ge 2.1901 0.0000 1.9472
B 0.0000 0.0000 1.9472
```

- N(E_F) (states/eV/atom) = 0.540
- raw formation energy (kJ/mol of atoms) = 64.48

=====

(15)
Computed, not measured: a geometry-optimized CuB2HN structure at the PBEsol level of DFT. Values from VASP.

```
&SYSTEM
  ibrav = 0, nat = 5, ntyp = 4
/
ATOMIC_SPECIES
Cu 63.55 Cu.upf
B 10.81 B.upf
H 1.01 H.upf
N 14.01 N.upf
CELL_PARAMETERS angstrom
3.8221 0.0000 0.0000
0.0000 3.8221 0.0000
0.0000 0.0000 3.6787
ATOMIC_POSITIONS angstrom
Cu 0.0000 0.0000 0.0000
B 0.0000 1.9110 0.0000
B 1.9110 0.0000 0.0000
H 1.9110 1.9110 1.8393
N 0.0000 0.0000 1.8393
```

- E_tot (eV/atom) = -3.84
- N(E_F) (states/eV/atom) = 0.444

=====

(16)
Computed, not measured: a geometry-optimized Cu3B6H2O13 structure at the PBEsol level of DFT. Values from VASP.

```
&SYSTEM
  ibrav = 0, nat = 48, ntyp = 4
/
ATOMIC_SPECIES
Cu 63.55 Cu.upf
B 10.81 B.upf
H 1.01 H.upf
O 16.00 O.upf
CELL_PARAMETERS angstrom
0.0000 8.2764 2.8203
8.0681 0.0000 2.8203
8.0681 8.2764 0.0000
ATOMIC_POSITIONS angstrom
Cu 0.0000 0.0000 0.0000
Cu 10.6539 6.9749 2.0312
Cu 4.0341 4.1382 1.4102
Cu 6.6198 5.4397 3.4414
Cu 5.4824 9.5779 2.0312
Cu 9.5164 11.1132 3.4414
B 6.0996 2.0301 2.0232
B 2.0656 2.1082 0.6130
B 6.0026 6.1683 0.6130
B 9.4177 4.4792 3.0386
B 11.8195 9.6410 2.4211
B 15.8535 11.0501 3.8313
B 4.3168 6.9119 2.4211
B 1.9685 6.2464 2.0232
B 10.7527 8.6174 4.4488
B 6.7186 12.0737 3.0386
B 5.3836 7.9355 4.4488
B 8.3509 13.7792 3.8313
H 7.6699 7.5670 2.6598
H 8.4664 8.9859 2.6598
H 12.5004 11.7052 4.0700
H 11.7040 13.1241 4.0700
O 10.0274 3.2441 2.4775
O 14.2732 7.4778 2.7636
O 5.8972 3.3396 1.3534
O 12.0577 8.2533 2.0043
O 9.4052 5.5198 2.0161
O 7.4056 1.8958 2.6946
O 3.3715 2.2424 1.2844
O 7.0909 6.0016 1.6003
O 4.6967 6.0340 1.2844
O 13.0794 10.1398 3.0105
O 8.0237 4.1614 3.4145
O 9.0454 10.5513 1.6003
O 8.0681 8.2764 2.1207
O 2.1710 4.9369 1.3534
O 10.1429 7.3824 3.8876
O 10.7652 9.6580 3.4263
O 4.0785 8.2996 2.0043
O 6.7311 11.0331 2.0161
O 12.1022 12.4147 3.5309
O 5.3711 6.8949 3.4263
O 3.0569 6.4131 3.0105
O 8.7307 14.6571 2.6946
O 8.1126 12.3915 3.4145
O 6.1089 13.3087 2.4775
O 5.9934 9.1705 3.8876
O 1.8631 9.0751 2.7636
```

- E_tot (eV/atom) = -7.21
- N(E_F) (states/eV/atom) = 0.061

=====

(17)
Computed, not measured: a geometry-optimized HfCuB2 structure at the PBEsol level of DFT. Values from VASP.

```
&SYSTEM
  ibrav = 0, nat = 16, ntyp = 3
/
ATOMIC_SPECIES
Hf 178.49 Hf.upf
Cu 63.55 Cu.upf
B 10.81 B.upf
CELL_PARAMETERS angstrom
5.5756 0.0000 0.0000
0.0000 5.5756 0.0000
0.0000 0.0000 5.5756
ATOMIC_POSITIONS angstrom
Hf 0.0000 0.0000 0.0000
Hf 0.0000 2.7878 2.7878
Hf 2.7878 0.0000 2.7878
Hf 2.7878 2.7878 0.0000
Cu 0.0000 0.0000 2.7878
Cu 0.0000 2.7878 0.0000
Cu 2.7878 0.0000 0.0000
Cu 2.7878 2.7878 2.7878
B 1.3939 1.3939 1.3939
B 1.3939 1.3939 4.1817
B 1.3939 4.1817 1.3939
B 1.3939 4.1817 4.1817
B 4.1817 1.3939 1.3939
B 4.1817 1.3939 4.1817
B 4.1817 4.1817 1.3939
B 4.1817 4.1817 4.1817
```

- N(E_F) (states/eV/atom) = 0.360
- ΔH_f (0 K) (eV per formula unit) = 1.3

=====

(18)
Computed, not measured: a geometry-optimized HfCuReB2 structure at the PBEsol level of DFT. Values from VASP.

```
&SYSTEM
  ibrav = 0, nat = 5, ntyp = 4
/
ATOMIC_SPECIES
Hf 178.49 Hf.upf
Cu 63.55 Cu.upf
Re 186.21 Re.upf
B 10.81 B.upf
CELL_PARAMETERS angstrom
4.2461 0.0000 0.0000
0.0000 4.2461 0.0000
0.0000 0.0000 4.9054
ATOMIC_POSITIONS angstrom
Hf 0.0000 0.0000 0.0000
Cu 2.1231 2.1231 2.4527
Re 0.0000 0.0000 2.4527
B 0.0000 2.1231 0.0000
B 2.1231 0.0000 0.0000
```

- N(E_F) (states/eV/atom) = 0.653
- ΔH_f (0 K) (eV per formula unit) = 11.9

=====

(19)
Computed, not measured: a geometry-optimized Nb2CuHgB structure at the PBEsol level of DFT. Values from VASP.

```
&SYSTEM
  ibrav = 0, nat = 5, ntyp = 4
/
ATOMIC_SPECIES
Nb 92.91 Nb.upf
Cu 63.55 Cu.upf
Hg 200.59 Hg.upf
B 10.81 B.upf
CELL_PARAMETERS angstrom
5.1360 0.0000 0.0000
0.0000 5.1360 0.0000
0.0000 0.0000 3.8747
ATOMIC_POSITIONS angstrom
Nb 0.0000 2.5680 0.0000
Nb 2.5680 0.0000 0.0000
Cu 0.0000 0.0000 1.9374
Hg 2.5680 2.5680 0.0000
B 2.5680 2.5680 1.9374
```

- N(E_F) (states/eV/atom) = 0.745
- ΔH_f (0 K) (eV per formula unit) = 10.3

=====

(20)
Computed, not measured: a geometry-optimized CuHgB2Os structure at the PBEsol level of DFT. Values from VASP.

```
&SYSTEM
  ibrav = 0, nat = 5, ntyp = 4
/
ATOMIC_SPECIES
Cu 63.55 Cu.upf
Hg 200.59 Hg.upf
B 10.81 B.upf
Os 190.23 Os.upf
CELL_PARAMETERS angstrom
3.9965 0.0000 0.0000
0.0000 3.9965 0.0000
0.0000 0.0000 5.3112
ATOMIC_POSITIONS angstrom
Cu 0.0000 0.0000 0.0000
Hg 1.9983 1.9983 2.6556
B 0.0000 1.9983 2.6556
B 1.9983 0.0000 2.6556
Os 1.9983 1.9983 0.0000
```

- N(E_F) (states/eV/atom) = 1.015
- ΔH_f (0 K) (eV per formula unit) = 12.9